Entry 1:
Computed, not measured: crystalline CuTe2I at its relaxed geometry at the GGA-PBE level of DFT.

The calculation puts the total energy at -2.956 eV per atom. The total magnetization comes out at 0.0 Bohr magnetons per cell. The volume comes out at 125.1 Å³/cell. For the density of states at the Fermi level, the calculation gives 0.742 states/eV/atom. For the formation energy (no corrections), the calculation gives 0.026 eV/atom.

a b c (Å): 9.007 9.007 9.007
angles (deg): 26.16 26.16 26.16
Atoms (fractional coordinates):
Cu  0.000  0.000  0.000
Te  0.385  0.385  0.385
Te  0.615  0.615  0.615
I  0.500  0.500  0.500

=====

Entry 2:
Computed, not measured: crystalline SrAsPbBr2 at its relaxed geometry at the GGA-PBE level of DFT.

The calculation puts the total energy at -3.141 eV per atom. The total magnetization comes out at 1.0 Bohr magnetons per cell. The volume comes out at 200.1 Å³/cell. For the density of states at the Fermi level, the calculation gives 0.522 states/eV/atom. For the formation energy (no corrections), the calculation gives -0.464 eV/atom.

a b c (Å): 5.659 5.659 6.248
angles (deg): 90.00 90.00 90.00
Atoms (fractional coordinates):
Sr  0.000  0.000  0.000
As  0.000  0.000  0.500
Pb  0.500  0.500  0.500
Br  0.000  0.500  0.000
Br  0.500  0.000  0.000

=====

Entry 3:
Computed, not measured: crystalline Pb2NO at its relaxed geometry at the GGA-PBE level of DFT.

The calculation puts the total energy at -4.772 eV per atom. The total magnetization comes out at 0.0 Bohr magnetons per cell. The volume comes out at 65.5 Å³/cell. For the density of states at the Fermi level, the calculation gives 0.743 states/eV/atom. For the formation energy (no corrections), the calculation gives 0.403 eV/atom.

a b c (Å): 4.525 4.525 4.525
angles (deg): 60.00 60.00 60.00
Atoms (fractional coordinates):
Pb  0.250  0.250  0.250
Pb  0.750  0.750  0.750
N  0.000  0.000  0.000
O  0.500  0.500  0.500